(1)
IrRhAuI (PBE-GGA, relaxed); magnetic moment = 0.00 μB/atom; E_tot = -4.781 eV per atom; polymorph energy (0 for the lowest one) = 0 meV per atom
1.0
3.656 0.000 0.000
0.000 2.874 0.000
-0.015 0.000 7.597
Ir Au I Rh
1 1 1 1
Direct
0.618 0.500 0.160
0.118 0.000 0.376
0.614 0.000 0.715
0.117 0.000 0.995



(2)
ErMgAs2Rh5 (PBE-GGA, relaxed); magnetic moment = 0.00 μB/atom; E_tot = -6.414 eV per atom
1.0
4.181 0.000 0.000
0.000 4.181 0.000
0.000 0.000 8.486
Rh Er As Mg
5 1 2 1
Direct
0.000 0.500 0.282
0.500 0.000 0.282
0.000 0.500 0.718
0.500 0.000 0.718
0.500 0.500 0.500
0.000 0.000 0.000
0.500 0.500 0.148
0.500 0.500 0.852
0.000 0.000 0.500



(3)
NaBeI2 (PBE-GGA, relaxed); magnetic moment = 0.21 μB/atom; E_tot = -1.946 eV per atom; polymorph energy (0 for the lowest one) = 294 meV per atom
1.0
0.000 3.872 3.872
3.872 0.000 3.872
3.872 3.872 0.000
I Be Na
2 1 1
Direct
0.250 0.250 0.250
0.750 0.750 0.750
0.000 0.000 0.000
0.500 0.500 0.500